[1]
Compound: Ba2ErNpSe6
Source: Alexandria
Functional: PBE-GGA
Structure: relaxed

Cell: 7.429 7.816 13.073 Å, 90.00 124.56 90.00°
Element x y z (fractional)
Ba (0.228, 0.071, 0.249)
Ba (0.228, 0.429, 0.749)
Ba (0.772, 0.571, 0.251)
Ba (0.772, 0.929, 0.751)
Er (0.000, 0.000, 0.500)
Er (0.000, 0.500, 0.000)
Np (0.500, 0.000, 0.000)
Np (0.500, 0.500, 0.500)
Se (0.157, 0.197, 0.956)
Se (0.157, 0.303, 0.456)
Se (0.262, 0.704, 0.956)
Se (0.262, 0.796, 0.456)
Se (0.338, 0.015, 0.753)
Se (0.338, 0.485, 0.253)
Se (0.662, 0.515, 0.747)
Se (0.662, 0.985, 0.247)
Se (0.738, 0.204, 0.544)
Se (0.738, 0.296, 0.044)
Se (0.843, 0.697, 0.544)
Se (0.843, 0.803, 0.044)

As for the mass density: 6.1 g/cm3. As for the space group: No. 14. For the formation energy without anion corrections, the calculation gives -1632.6 meV/atom.

=====

[2]
Compound: Ba2Er2O5
Source: Alexandria
Functional: PBE-GGA
Structure: relaxed

Cell: 6.660 6.660 6.573 Å, 109.89 109.89 38.63°
Element x y z (fractional)
Ba (0.117, 0.117, 0.320)
Ba (0.883, 0.883, 0.680)
Er (0.356, 0.356, 0.126)
Er (0.644, 0.644, 0.874)
O (0.169, 0.169, 0.946)
O (0.348, 0.348, 0.442)
O (0.500, 0.500, 0.000)
O (0.652, 0.652, 0.558)
O (0.831, 0.831, 0.054)

As for the mass density: 6.7 g/cm3. As for the space group: No. 12. For the formation energy without anion corrections, the calculation gives -3067.4 meV/atom.

=====

[3]
Compound: BaEr2O
Source: Alexandria
Functional: PBE-GGA
Structure: relaxed

Cell: 9.936 9.936 9.936 Å, 20.51 20.51 20.51°
Element x y z (fractional)
Ba (0.000, 0.000, 0.000)
Er (0.123, 0.123, 0.123)
Er (0.877, 0.877, 0.877)
O (0.500, 0.500, 0.500)

As for the mass density: 7.7 g/cm3. As for the space group: No. 166. For the formation energy without anion corrections, the calculation gives -1122.9 meV/atom.

=====

[4]
Compound: BaEr2O4
Source: Alexandria
Functional: PBE-GGA
Structure: relaxed

Cell: 5.895 5.895 11.445 Å, 90.00 90.00 146.22°
Element x y z (fractional)
Ba (0.112, 0.888, 0.750)
Ba (0.888, 0.112, 0.250)
Er (0.365, 0.635, 0.571)
Er (0.365, 0.635, 0.929)
Er (0.635, 0.365, 0.071)
Er (0.635, 0.365, 0.429)
O (0.000, 0.000, 0.000)
O (0.000, 0.000, 0.500)
O (0.260, 0.740, 0.101)
O (0.260, 0.740, 0.399)
O (0.436, 0.564, 0.750)
O (0.564, 0.436, 0.250)
O (0.740, 0.260, 0.601)
O (0.740, 0.260, 0.899)

As for the mass density: 8.0 g/cm3. As for the space group: No. 63. Its polymorph energy (0 for the lowest one) is 0.29 eV per formula unit. For the formation energy without anion corrections, the calculation gives -3275.4 meV/atom.

=====

[5]
Compound: BaErO2
Source: Alexandria
Functional: PBE-GGA
Structure: relaxed

Cell: 6.678 6.678 6.678 Å, 30.53 30.53 30.53°
Element x y z (fractional)
Ba (0.000, 0.000, 0.000)
Er (0.500, 0.500, 0.500)
O (0.226, 0.226, 0.226)
O (0.774, 0.774, 0.774)

As for the mass density: 8.2 g/cm3. As for the space group: No. 166. Its polymorph energy (0 for the lowest one) is 0.01 eV per formula unit. For the formation energy without anion corrections, the calculation gives -2774.3 meV/atom.

=====

[6]
Compound: BaErO2
Source: Alexandria
Functional: PBE-GGA
Structure: relaxed

Cell: 6.970 6.970 6.970 Å, 28.99 28.99 28.99°
Element x y z (fractional)
Ba (0.000, 0.000, 0.000)
Er (0.173, 0.173, 0.173)
O (0.564, 0.564, 0.564)
O (0.783, 0.783, 0.783)

As for the mass density: 7.9 g/cm3. As for the space group: No. 160. Its polymorph energy (0 for the lowest one) is 0.44 eV per formula unit. For the formation energy without anion corrections, the calculation gives -2665.7 meV/atom.

=====

[7]
Compound: BaErO2
Source: Alexandria
Functional: PBE-GGA
Structure: relaxed

Cell: 6.261 4.329 11.967 Å, 90.00 90.00 90.00°
Element x y z (fractional)
Ba (0.045, 0.250, 0.160)
Ba (0.455, 0.750, 0.660)
Ba (0.545, 0.250, 0.340)
Ba (0.955, 0.750, 0.840)
Er (0.029, 0.750, 0.390)
Er (0.471, 0.250, 0.890)
Er (0.529, 0.750, 0.110)
Er (0.971, 0.250, 0.610)
O (0.030, 0.750, 0.583)
O (0.219, 0.250, 0.753)
O (0.281, 0.750, 0.253)
O (0.470, 0.250, 0.083)
O (0.530, 0.750, 0.917)
O (0.719, 0.250, 0.747)
O (0.781, 0.750, 0.247)
O (0.970, 0.250, 0.417)

As for the mass density: 6.9 g/cm3. As for the space group: No. 62. Its polymorph energy (0 for the lowest one) is 0.00 eV per formula unit. For the formation energy without anion corrections, the calculation gives -2776.4 meV/atom.

=====

[8]
Compound: BaEr2O4
Source: Alexandria
Functional: PBE-GGA
Structure: relaxed

Cell: 10.445 3.447 12.114 Å, 90.00 90.00 90.00°
Element x y z (fractional)
Ba (0.246, 0.250, 0.149)
Ba (0.254, 0.750, 0.649)
Ba (0.746, 0.250, 0.351)
Ba (0.754, 0.750, 0.851)
Er (0.073, 0.250, 0.389)
Er (0.078, 0.250, 0.891)
Er (0.422, 0.750, 0.391)
Er (0.427, 0.750, 0.889)
Er (0.573, 0.250, 0.111)
Er (0.578, 0.250, 0.609)
Er (0.922, 0.750, 0.109)
Er (0.927, 0.750, 0.611)
O (0.019, 0.750, 0.783)
O (0.070, 0.250, 0.574)
O (0.114, 0.750, 0.018)
O (0.209, 0.750, 0.344)
O (0.291, 0.250, 0.844)
O (0.386, 0.250, 0.518)
O (0.430, 0.750, 0.074)
O (0.481, 0.250, 0.283)
O (0.519, 0.750, 0.717)
O (0.570, 0.250, 0.926)
O (0.614, 0.750, 0.482)
O (0.709, 0.750, 0.156)
O (0.791, 0.250, 0.656)
O (0.886, 0.250, 0.982)
O (0.930, 0.750, 0.426)
O (0.981, 0.250, 0.217)

As for the mass density: 8.2 g/cm3. As for the space group: No. 62. Its polymorph energy (0 for the lowest one) is 0.00 eV per formula unit. For the formation energy without anion corrections, the calculation gives -3316.7 meV/atom.